No. 1
The following is a DFT calculation (meta-GGA SCAN) of a crystal of SrTeIr relaxed with PBEsol.

a b c (Å): 4.736 4.736 4.736
angles (deg): 60.00 60.00 60.00
Sites, in units of the cell vectors:
Te 0.500 0.500 0.500
Sr 0.000 0.000 0.000
Ir 0.250 0.250 0.250

Values from the calculation:
ΔE to the lowest computed polymorph (meV per atom): 443
DOS(E_F) (states/eV per cell): 2.8
E_form (uncorrected) (eV per atom): -0.345
Magnetic moment (μB/cell): 0.000

***

No. 2
The following is a DFT calculation (meta-GGA SCAN) of a crystal of LiYSi2 relaxed with PBEsol.

a b c (Å): 3.765 4.202 5.382
angles (deg): 112.98 90.00 90.00
Sites, in units of the cell vectors:
Si 0.000 0.826 0.653
Si 0.500 0.678 0.355
Y 0.000 0.114 0.228
Li 0.500 0.389 0.779

Values from the calculation:
ΔE to the lowest computed polymorph (meV per atom): 0
DOS(E_F) (states/eV per cell): 1.0
E_form (uncorrected) (eV per atom): -0.499
Magnetic moment (μB/cell): 0.000

***

Q: Number 1 is which compound?
A: SrTeIr

***

What did the first record say?
The following is a DFT calculation (meta-GGA SCAN) of a crystal of SrTeIr relaxed with PBEsol.

a b c (Å): 4.736 4.736 4.736
angles (deg): 60.00 60.00 60.00
Sites, in units of the cell vectors:
Te 0.500 0.500 0.500
Sr 0.000 0.000 0.000
Ir 0.250 0.250 0.250

Values from the calculation:
ΔE to the lowest computed polymorph (meV per atom): 443
DOS(E_F) (states/eV per cell): 2.8
E_form (uncorrected) (eV per atom): -0.345
Magnetic moment (μB/cell): 0.000

***

Please write out number 1 again, unchanged.
The following is a DFT calculation (meta-GGA SCAN) of a crystal of SrTeIr relaxed with PBEsol.

a b c (Å): 4.736 4.736 4.736
angles (deg): 60.00 60.00 60.00
Sites, in units of the cell vectors:
Te 0.500 0.500 0.500
Sr 0.000 0.000 0.000
Ir 0.250 0.250 0.250

Values from the calculation:
ΔE to the lowest computed polymorph (meV per atom): 443
DOS(E_F) (states/eV per cell): 2.8
E_form (uncorrected) (eV per atom): -0.345
Magnetic moment (μB/cell): 0.000